No. 1
Density functional theory data (PBE) for crystalline CsNa2Au7 at its relaxed geometry.

The structure in POSCAR format:
```
CsNa2Au7
1.0
2.7034 -7.1516 0.0000
2.7034 7.1516 0.0000
0.0000 0.0000 6.9699
Cs Na Au
1 2 7
direct
0.0000 0.0000 0.0000
0.1499 0.8501 0.5000
0.8501 0.1499 0.5000
0.0000 0.5000 0.0000
0.3374 0.6626 0.2973
0.3374 0.6626 0.7027
0.5000 0.0000 0.0000
0.5000 0.5000 0.5000
0.6626 0.3374 0.2973
0.6626 0.3374 0.7027
```

Results
- E: -2.886 eV per atom
- Density: 9597 kg/m³

***

No. 2
Density functional theory data (PBE) for crystalline RbCoSb at its relaxed geometry.

The structure in POSCAR format:
```
RbCoSb
1.0
7.6066 0.0000 0.0000
0.0000 7.6066 0.0000
0.0000 0.0000 7.6066
Rb Co Sb
4 4 4
direct
0.0000 0.0000 0.0000
0.0000 0.5000 0.5000
0.5000 0.0000 0.5000
0.5000 0.5000 0.0000
0.2500 0.2500 0.7500
0.2500 0.7500 0.2500
0.7500 0.2500 0.2500
0.7500 0.7500 0.7500
0.2500 0.2500 0.2500
0.2500 0.7500 0.7500
0.7500 0.2500 0.7500
0.7500 0.7500 0.2500
```

Results
- Total magnetic moment: 0.83 Bohr magnetons per cell
- E: -2.338 eV per atom
- Density: 4017 kg/m³

***

No. 3
Density functional theory data (PBE) for crystalline CdH12C6S4N6 at its relaxed geometry.

The structure in POSCAR format:
```
CdH12C6S4N6
1.0
3.9667 0.0000 0.0000
-1.7507 7.2803 0.0000
-1.3561 -1.1045 11.6726
Cd H C S N
1 12 6 4 6
direct
0.0000 0.0000 0.0000
0.1716 0.1909 0.6093
0.3358 0.4835 0.7358
0.3473 0.9317 0.2357
0.3873 0.5287 0.8850
0.4120 0.6544 0.3941
0.4717 0.8964 0.4281
0.5283 0.1036 0.5719
0.5880 0.3456 0.6059
0.6127 0.4713 0.1150
0.6527 0.0683 0.7643
0.6642 0.5165 0.2642
0.8284 0.8091 0.3907
0.0359 0.2008 0.2712
0.4561 0.2078 0.6269
0.4767 0.7054 0.1676
0.5233 0.2946 0.8324
0.5439 0.7922 0.3731
0.9641 0.7992 0.7288
0.0546 0.6849 0.6205
0.3779 0.7512 0.0267
0.6221 0.2488 0.9733
0.9454 0.3151 0.3795
0.1079 0.1134 0.1931
0.3997 0.4426 0.8151
0.4382 0.8169 0.2545
0.5618 0.1831 0.7455
0.6003 0.5574 0.1849
0.8921 0.8866 0.8069
```

Results
- E: -5.755 eV per atom
- Density: 2014 kg/m³

***

No. 4
Density functional theory data (PBE) for crystalline Pa2Tl2O5 at its relaxed geometry.

The structure in POSCAR format:
```
Pa2Tl2O5
1.0
4.4646 0.0000 0.0000
0.0000 4.4646 0.0000
0.0000 0.0000 7.0750
Pa Tl O
2 2 5
direct
0.0000 0.0000 0.0000
0.0000 0.0000 0.5000
0.5000 0.5000 0.1947
0.5000 0.5000 0.8053
0.0000 0.5000 0.2231
0.0000 0.5000 0.7769
0.5000 0.0000 0.2231
0.5000 0.0000 0.7769
0.5000 0.5000 0.5000
```

Results
- Total magnetic moment: 3.54 Bohr magnetons per cell
- E: -6.202 eV per atom
- Density: 11196 kg/m³

***

No. 5
Density functional theory data (PBE) for crystalline BaCoB at its relaxed geometry.

The structure in POSCAR format:
```
BaCoB
1.0
6.9366 0.0000 0.0000
0.0000 6.9366 0.0000
0.0000 0.0000 6.9366
Ba Co B
4 4 4
direct
0.0000 0.0000 0.0000
0.0000 0.5000 0.5000
0.5000 0.0000 0.5000
0.5000 0.5000 0.0000
0.2500 0.2500 0.2500
0.2500 0.7500 0.7500
0.7500 0.2500 0.7500
0.7500 0.7500 0.2500
0.2500 0.2500 0.7500
0.2500 0.7500 0.2500
0.7500 0.2500 0.2500
0.7500 0.7500 0.7500
```

Results
- Total magnetic moment: 1.55 Bohr magnetons per cell
- E: -3.230 eV per atom
- Density: 4121 kg/m³

***

No. 6
Density functional theory data (PBE) for crystalline BeReAsO at its relaxed geometry.

The structure in POSCAR format:
```
BeReAsO
1.0
4.1890 0.0000 0.0000
0.0000 5.3070 0.0000
0.0000 0.0000 4.7684
Be Re As O
2 2 2 2
direct
0.0000 0.1324 0.0000
0.0000 0.8676 0.5000
0.5000 0.1872 0.3239
0.5000 0.8128 0.8239
0.5000 0.3443 0.8189
0.5000 0.6557 0.3189
0.0000 0.1166 0.3248
0.0000 0.8834 0.8248
```

Results
- Total magnetic moment: 0.01 Bohr magnetons per cell
- E: -6.937 eV per atom
- Density: 8964 kg/m³

***

No. 7
Density functional theory data (PBE) for crystalline DyGeH2O4 at its relaxed geometry.

The structure in POSCAR format:
```
DyGeH2O4
1.0
4.9656 0.0000 0.0000
0.0000 6.1841 0.0000
-1.3002 0.0000 5.8081
Dy Ge H O
2 2 4 8
direct
0.0489 0.2500 0.1757
0.9511 0.7500 0.8243
0.3008 0.2500 0.7091
0.6992 0.7500 0.2909
0.3385 0.7500 0.5181
0.5000 0.0000 0.0000
0.5000 0.5000 0.0000
0.6615 0.2500 0.4819
0.0357 0.7500 0.4720
0.2545 0.0236 0.9358
0.2545 0.4764 0.9358
0.4490 0.2500 0.4314
0.5510 0.7500 0.5686
0.7455 0.5236 0.0642
0.7455 0.9764 0.0642
0.9643 0.2500 0.5280
```

Results
- Total magnetic moment: 0.00 Bohr magnetons per cell
- E: -6.235 eV per atom
- Density: 5608 kg/m³

***

No. 8
Density functional theory data (PBE) for crystalline Y2HoO3 at its relaxed geometry.

The structure in POSCAR format:
```
Y2HoO3
1.0
3.3982 0.0000 0.0000
-1.6991 2.9429 0.0000
0.0000 0.0000 8.2714
Y Ho O
2 1 3
direct
0.3333 0.6667 0.1670
0.6667 0.3333 0.8330
0.0000 0.0000 0.5000
0.0000 0.0000 0.0000
0.3333 0.6667 0.6598
0.6667 0.3333 0.3402
```

Results
- Total magnetic moment: 0.00 Bohr magnetons per cell
- E: -8.167 eV per atom
- Density: 7844 kg/m³

***

No. 9
Density functional theory data (PBE) for crystalline NaSiAuS3 at its relaxed geometry.

The structure in POSCAR format:
```
NaSiAuS3
1.0
1.6968 -7.2629 0.0000
1.6968 7.2629 0.0000
0.0000 0.0000 9.6266
Na Si Au S
2 2 2 6
direct
0.1972 0.8028 0.7500
0.8028 0.1972 0.2500
0.5000 0.5000 0.0000
0.5000 0.5000 0.5000
0.1318 0.8682 0.2500
0.8682 0.1318 0.7500
0.1130 0.8870 0.0122
0.1130 0.8870 0.4878
0.4593 0.5407 0.2500
0.5407 0.4593 0.7500
0.8870 0.1130 0.5122
0.8870 0.1130 0.9878
```

Results
- E: -4.125 eV per atom
- Density: 4818 kg/m³

***

No. 10
Density functional theory data (PBE) for crystalline ErLuZn2Si2 at its relaxed geometry.

The structure in POSCAR format:
```
ErLuZn2Si2
1.0
4.1234 0.0000 0.0000
-2.0617 3.5710 0.0000
0.0000 0.0000 15.2974
Er Lu Zn Si
2 2 4 4
direct
0.0000 0.0000 0.0000
0.0000 0.0000 0.5000
0.0000 0.0000 0.2500
0.0000 0.0000 0.7500
0.3333 0.6667 0.1416
0.3333 0.6667 0.3584
0.6667 0.3333 0.6416
0.6667 0.3333 0.8584
0.3333 0.6667 0.6179
0.3333 0.6667 0.8821
0.6667 0.3333 0.1179
0.6667 0.3333 0.3821
```

Results
- Total magnetic moment: 0.00 Bohr magnetons per cell
- E: -4.339 eV per atom
- Density: 7803 kg/m³

***

No. 11
Density functional theory data (PBE) for crystalline BaSmAgTe3 at its relaxed geometry.

The structure in POSCAR format:
```
BaSmAgTe3
1.0
8.7191 0.0000 0.0000
0.0000 4.5406 0.0000
-3.1173 0.0000 10.4665
Ba Sm Ag Te
2 2 2 6
direct
0.2480 0.2500 0.2935
0.7520 0.7500 0.7065
0.3051 0.7500 0.8414
0.6949 0.2500 0.1586
0.0812 0.2500 0.5945
0.9188 0.7500 0.4055
0.0611 0.2500 0.8497
0.2668 0.7500 0.5468
0.4374 0.7500 0.1423
0.5626 0.2500 0.8577
0.7332 0.2500 0.4532
0.9389 0.7500 0.1503
```

Results
- Total magnetic moment: 0.01 Bohr magnetons per cell
- E: -4.409 eV per atom
- Density: 6238 kg/m³

***

No. 12
Density functional theory data (PBE) for crystalline Sc2Ta4Ga3C3 at its relaxed geometry.

The structure in POSCAR format:
```
Sc2Ta4Ga3C3
1.0
4.7841 -2.7593 0.0000
4.7841 2.7593 0.0000
-3.2298 0.0000 13.7352
Sc Ta Ga C
4 8 6 6
direct
0.0346 0.8739 0.6011
0.1261 0.9654 0.8989
0.8739 0.0346 0.1011
0.9654 0.1261 0.3989
0.1948 0.3531 0.0838
0.2963 0.4805 0.4162
0.3531 0.1948 0.5838
0.4805 0.2963 0.9162
0.5195 0.7037 0.0838
0.6469 0.8052 0.4162
0.7037 0.5195 0.5838
0.8052 0.6469 0.9162
0.0847 0.3290 0.7518
0.3290 0.0847 0.2518
0.4972 0.5028 0.7500
0.5028 0.4972 0.2500
0.6710 0.9153 0.7482
0.9153 0.6710 0.2482
0.0000 0.5000 0.5000
0.1689 0.6619 0.0000
0.3381 0.8311 0.5000
0.5000 0.0000 0.0000
0.6619 0.1689 0.5000
0.8311 0.3381 0.0000
```

Results
- Total magnetic moment: 0.03 Bohr magnetons per cell
- E: -8.692 eV per atom
- Density: 9698 kg/m³

***

Number 4 is which compound?
Pa2Tl2O5